<w>
# LaZn2Pb2

LaZn2Pb2 after structural relaxation (PBE, Alexandria via LeMat-Bulk).

Calculated values
Volume in Å³ per atom: 25.38

Cell lengths 8.227, 8.227, 3.749 Å; angles 90.00, 90.00, 90.00 degrees
Positions (direct):
La 0.000 0.000 0.000
La 0.500 0.500 0.000
Zn 0.113 0.387 0.000
Zn 0.387 0.887 0.000
Zn 0.613 0.113 0.000
Zn 0.887 0.613 0.000
Pb 0.180 0.680 0.500
Pb 0.320 0.180 0.500
Pb 0.680 0.820 0.500
Pb 0.820 0.320 0.500

***

<x>
# LaZn2Pb2

LaZn2Pb2 after structural relaxation (PBE, Alexandria via LeMat-Bulk).

Calculated values
Volume in Å³ per atom: 25.95

Cell lengths 4.907, 4.907, 10.776 Å; angles 90.00, 90.00, 90.00 degrees
Positions (direct):
La 0.000 0.000 0.000
La 0.500 0.500 0.500
Zn 0.000 0.000 0.389
Zn 0.000 0.000 0.611
Zn 0.500 0.500 0.111
Zn 0.500 0.500 0.889
Pb 0.000 0.500 0.250
Pb 0.000 0.500 0.750
Pb 0.500 0.000 0.250
Pb 0.500 0.000 0.750

***

Relative energy of each structure, in meV per atom: <w> 45; <x> 0.

***

<w>
# La2Zn2Pb

La2Zn2Pb after structural relaxation (PBE, Alexandria via LeMat-Bulk).

Calculated values
Volume in Å³ per atom: 28.82

Cell lengths 8.851, 8.851, 3.678 Å; angles 90.00, 90.00, 90.00 degrees
Positions (direct):
La 0.162 0.338 0.000
La 0.338 0.838 0.000
La 0.662 0.162 0.000
La 0.838 0.662 0.000
Zn 0.134 0.634 0.500
Zn 0.366 0.134 0.500
Zn 0.634 0.866 0.500
Zn 0.866 0.366 0.500
Pb 0.000 0.000 0.000
Pb 0.500 0.500 0.000

***

<x>
# La2Zn2Pb

La2Zn2Pb after structural relaxation (PBE, Alexandria via LeMat-Bulk).

Calculated values
Volume in Å³ per atom: 26.76

Cell lengths 7.531, 7.531, 4.717 Å; angles 90.00, 90.00, 90.00 degrees
Positions (direct):
La 0.174 0.326 0.000
La 0.326 0.826 0.000
La 0.674 0.174 0.000
La 0.826 0.674 0.000
Zn 0.120 0.620 0.500
Zn 0.380 0.120 0.500
Zn 0.620 0.880 0.500
Zn 0.880 0.380 0.500
Pb 0.000 0.000 0.500
Pb 0.500 0.500 0.500

***

Relative energy of each structure, in meV per atom: <w> 266; <x> 0.

***

<w>
# La2Zn2Pb

La2Zn2Pb after structural relaxation (PBE, Alexandria via LeMat-Bulk).

Calculated values
Volume in Å³ per atom: 27.80

Cell lengths 3.748, 3.748, 19.792 Å; angles 90.00, 90.00, 90.00 degrees
Positions (direct):
La 0.000 0.000 0.112
La 0.000 0.000 0.888
La 0.500 0.500 0.388
La 0.500 0.500 0.612
Zn 0.000 0.500 0.250
Zn 0.000 0.500 0.750
Zn 0.500 0.000 0.250
Zn 0.500 0.000 0.750
Pb 0.000 0.000 0.500
Pb 0.500 0.500 0.000

***

<x>
# La2Zn2Pb

La2Zn2Pb after structural relaxation (PBE, Alexandria via LeMat-Bulk).

Calculated values
Volume in Å³ per atom: 29.04

Cell lengths 6.028, 6.028, 7.991 Å; angles 90.00, 90.00, 90.00 degrees
Positions (direct):
La 0.000 0.500 0.250
La 0.000 0.500 0.750
La 0.500 0.000 0.250
La 0.500 0.000 0.750
Zn 0.000 0.000 0.145
Zn 0.000 0.000 0.855
Zn 0.500 0.500 0.355
Zn 0.500 0.500 0.645
Pb 0.000 0.000 0.500
Pb 0.500 0.500 0.000

***

Relative energy of each structure, in meV per atom: <w> 0; <x> 93.

***

<w>
# La2ZnPb2

La2ZnPb2 after structural relaxation (PBE, Alexandria via LeMat-Bulk).

Calculated values
Volume in Å³ per atom: 30.47

Cell lengths 7.908, 7.908, 4.872 Å; angles 90.00, 90.00, 90.00 degrees
Positions (direct):
La 0.172 0.328 0.000
La 0.328 0.828 0.000
La 0.672 0.172 0.000
La 0.828 0.672 0.000
Zn 0.000 0.000 0.500
Zn 0.500 0.500 0.500
Pb 0.137 0.637 0.500
Pb 0.363 0.137 0.500
Pb 0.637 0.863 0.500
Pb 0.863 0.363 0.500

***

<x>
# La2ZnPb2

La2ZnPb2 after structural relaxation (PBE, Alexandria via LeMat-Bulk).

Calculated values
Volume in Å³ per atom: 33.27

Cell lengths 9.156, 9.156, 3.969 Å; angles 90.00, 90.00, 90.00 degrees
Positions (direct):
La 0.143 0.357 0.000
La 0.357 0.857 0.000
La 0.643 0.143 0.000
La 0.857 0.643 0.000
Zn 0.000 0.000 0.000
Zn 0.500 0.500 0.000
Pb 0.163 0.663 0.500
Pb 0.337 0.163 0.500
Pb 0.663 0.837 0.500
Pb 0.837 0.337 0.500

***

Relative energy of each structure, in meV per atom: <w> 0; <x> 204.

***

<w>
# La4Pd

La4Pd after structural relaxation (PBE, Alexandria via LeMat-Bulk).

Calculated values
Volume in Å³ per atom: 38.37

Cell lengths 5.767, 5.767, 5.767 Å; angles 90.00, 90.00, 90.00 degrees
Positions (direct):
La 0.000 0.000 0.000
La 0.000 0.500 0.500
La 0.500 0.000 0.500
La 0.500 0.500 0.000
Pd 0.500 0.500 0.500

***

<x>
# La4Pd

La4Pd after structural relaxation (PBE, Alexandria via LeMat-Bulk).

Calculated values
Volume in Å³ per atom: 32.23

Cell lengths 9.232, 9.232, 3.781 Å; angles 90.00, 90.00, 90.00 degrees
Positions (direct):
La 0.077 0.736 0.000
La 0.236 0.423 0.500
La 0.264 0.077 0.000
La 0.423 0.764 0.500
La 0.577 0.236 0.500
La 0.736 0.923 0.000
La 0.764 0.577 0.500
La 0.923 0.264 0.000
Pd 0.000 0.000 0.500
Pd 0.500 0.500 0.000

***

Relative energy of each structure, in meV per atom: <w> 157; <x> 0.

***

<w>
# La3Pd4

La3Pd4 after structural relaxation (PBE, Alexandria via LeMat-Bulk).

Calculated values
Volume in Å³ per atom: 24.06

Cell lengths 5.785, 5.785, 15.261 Å; angles 90.00, 90.00, 138.73 degrees
Positions (direct):
La 0.068 0.932 0.750
La 0.340 0.660 0.595
La 0.340 0.660 0.905
La 0.660 0.340 0.095
La 0.660 0.340 0.405
La 0.932 0.068 0.250
Pd 0.000 0.000 0.000
Pd 0.000 0.000 0.500
Pd 0.208 0.792 0.250
Pd 0.377 0.623 0.105
Pd 0.377 0.623 0.395
Pd 0.623 0.377 0.605
Pd 0.623 0.377 0.895
Pd 0.792 0.208 0.750

***

<x>
# La3Pd4

La3Pd4 after structural relaxation (PBE, Alexandria via LeMat-Bulk).

Calculated values
Volume in Å³ per atom: 23.76

Cell lengths 8.328, 8.328, 8.328 Å; angles 114.68, 114.68, 114.68 degrees
Positions (direct):
La 0.029 0.280 0.406
La 0.280 0.406 0.029
La 0.406 0.029 0.280
La 0.594 0.971 0.720
La 0.720 0.594 0.971
La 0.971 0.720 0.594
Pd 0.000 0.000 0.000
Pd 0.059 0.558 0.223
Pd 0.223 0.059 0.558
Pd 0.442 0.777 0.941
Pd 0.500 0.500 0.500
Pd 0.558 0.223 0.059
Pd 0.777 0.941 0.442
Pd 0.941 0.442 0.777

***

Relative energy of each structure, in meV per atom: <w> 13; <x> 0.